Compound: Ac11Tl9Ir4
Source: Alexandria
Functional: GGA-PBE
Structure: relaxed

Unit cell a=4.054 b=14.240 c=14.240 alpha=112.58 beta=90.00 gamma=90.00
Sites, in units of the cell vectors:
Ac: 0.000 0.580 0.913
Ac: 0.000 0.420 0.087
Ac: 0.000 0.913 0.580
Ac: 0.000 0.087 0.420
Ac: 0.000 0.625 0.375
Ac: 0.000 0.375 0.625
Ac: 0.000 0.836 0.164
Ac: 0.000 0.164 0.836
Ac: 0.000 0.000 0.000
Ac: 0.000 0.687 0.687
Ac: 0.000 0.313 0.313
Tl: 0.500 0.635 0.158
Tl: 0.500 0.365 0.842
Tl: 0.500 0.158 0.635
Tl: 0.500 0.842 0.365
Tl: 0.500 0.784 0.926
Tl: 0.500 0.216 0.074
Tl: 0.500 0.926 0.784
Tl: 0.500 0.074 0.216
Tl: 0.500 0.500 0.500
Ir: 0.500 0.553 0.751
Ir: 0.500 0.447 0.249
Ir: 0.500 0.751 0.553
Ir: 0.500 0.249 0.447

Output
Mass density ... 11.17 g cm⁻³
Crystal system ... orthorhombic
SG ... Cmmm, No. 65
E ... -0.173 Ha/atom